Entry 1:
This record from Alexandria describes KTa2Si at its PBEsol-relaxed geometry. The functional is SCAN.

- Fermi-level density of states (states/eV/cell) = 7.6
- total energy (eV for the cell shown) = -446.94
- formation energy without anion corrections (eV per atom) = 0.63

```
data_KTa2Si
_cell_length_a 2.8923
_cell_length_b 2.8923
_cell_length_c 32.4292
_cell_angle_alpha 90.00
_cell_angle_beta 90.00
_cell_angle_gamma 120.00
_symmetry_space_group_name_H-M 'R -3 m'
_symmetry_Int_Tables_number 166
_symmetry_space_group_name_Hall '-R 3 2"'
loop_
_atom_site_label
_atom_site_type_symbol
_atom_site_fract_x
_atom_site_fract_y
_atom_site_fract_z
K1 K 0.0000 0.0000 0.0000
Ta1 Ta 0.0000 0.0000 0.2338
Si1 Si 0.0000 0.0000 0.5000
```

=====

Entry 2:
This record from Alexandria describes Mo5Ir at its PBEsol-relaxed geometry. The functional is SCAN.

- E above lowest polymorph (meV/atom) = 47.5
- Fermi-level density of states (states/eV/cell) = 7.2
- total energy (eV for the cell shown) = -244.05
- energy of formation (meV/atom) = 246

```
data_Mo5Ir
_cell_length_a 4.8247
_cell_length_b 4.8247
_cell_length_c 4.5032
_cell_angle_alpha 90.00
_cell_angle_beta 90.00
_cell_angle_gamma 120.00
_symmetry_space_group_name_H-M 'P -6 2 m'
_symmetry_Int_Tables_number 189
_symmetry_space_group_name_Hall 'P -6 -2'
loop_
_atom_site_label
_atom_site_type_symbol
_atom_site_fract_x
_atom_site_fract_y
_atom_site_fract_z
Mo1 Mo 0.0000 0.3295 0.0000
Mo2 Mo 0.3333 0.6667 0.5000
Ir1 Ir 0.0000 0.0000 0.5000
```

=====

Entry 3:
This record from Alexandria describes KZrCuS3 at its PBEsol-relaxed geometry. The functional is SCAN.

- total energy (eV for the cell shown) = -368.02
- formation energy without anion corrections (eV per atom) = -1.48

```
data_KZrCuS3
_cell_length_a 3.704
_cell_length_b 13.977
_cell_length_c 9.677
_cell_angle_alpha 90.00
_cell_angle_beta 90.00
_cell_angle_gamma 90.00
_symmetry_space_group_name_H-M 'C m c m'
_symmetry_Int_Tables_number 63
_symmetry_space_group_name_Hall '-C 2c 2'
loop_
_atom_site_label
_atom_site_type_symbol
_atom_site_fract_x
_atom_site_fract_y
_atom_site_fract_z
K1 K 0.000 0.246 0.250
Zr1 Zr 0.000 0.500 0.000
Cu1 Cu 0.000 0.033 0.750
S1 S 0.000 0.122 0.555
S2 S 0.000 0.435 0.750
```

=====

Entry 4:
This record from Alexandria describes Pt2Rh at its PBEsol-relaxed geometry. The functional is SCAN.

- Fermi-level density of states (states/eV/cell) = 2.9
- total energy (eV for the cell shown) = -173.77
- energy of formation (meV/atom) = 128

```
data_Pt2Rh
_cell_length_a 4.4129
_cell_length_b 4.4129
_cell_length_c 2.6463
_cell_angle_alpha 90.00
_cell_angle_beta 90.00
_cell_angle_gamma 120.00
_symmetry_space_group_name_H-M 'P 6/m m m'
_symmetry_Int_Tables_number 191
_symmetry_space_group_name_Hall '-P 6 2'
loop_
_atom_site_label
_atom_site_type_symbol
_atom_site_fract_x
_atom_site_fract_y
_atom_site_fract_z
Pt1 Pt 0.3333 0.6667 0.0000
Rh1 Rh 0.0000 0.0000 0.5000
```

=====

Entry 5:
This record from Alexandria describes K6Ge2O7 at its PBEsol-relaxed geometry. The functional is SCAN.

- Fermi-level density of states (states/eV/cell) = 0.0
- total energy (eV for the cell shown) = -320.08
- formation energy without anion corrections (eV per atom) = -1.88

```
data_K6Ge2O7
_cell_length_a 6.508
_cell_length_b 9.059
_cell_length_c 11.118
_cell_angle_alpha 90.00
_cell_angle_beta 123.99
_cell_angle_gamma 90.00
_symmetry_space_group_name_H-M 'P 1 c 1'
_symmetry_Int_Tables_number 7
_symmetry_space_group_name_Hall 'P -2yc'
loop_
_atom_site_label
_atom_site_type_symbol
_atom_site_fract_x
_atom_site_fract_y
_atom_site_fract_z
K1 K 0.000 0.041 0.000
K2 K 0.193 0.459 0.441
K3 K 0.389 0.222 0.764
K4 K 0.547 0.400 0.295
K5 K 0.646 0.101 0.146
K6 K 0.804 0.278 0.678
Ge1 Ge 0.283 0.106 0.352
Ge2 Ge 0.910 0.394 0.089
O1 O 0.086 0.048 0.785
O2 O 0.094 0.250 0.222
O3 O 0.108 0.452 0.656
O4 O 0.353 0.161 0.522
O5 O 0.549 0.087 0.348
O6 O 0.643 0.416 0.091
O7 O 0.843 0.338 0.920
```

=====

Entry 6:
This record from Alexandria describes Be4SiRu at its PBEsol-relaxed geometry. The functional is SCAN.

- Fermi-level density of states (states/eV/cell) = 0.8
- total energy (eV for the cell shown) = -259.16
- formation energy without anion corrections (eV per atom) = -0.42

```
data_Be4SiRu
_cell_length_a 5.976
_cell_length_b 5.976
_cell_length_c 5.976
_cell_angle_alpha 90.00
_cell_angle_beta 90.00
_cell_angle_gamma 90.00
_symmetry_space_group_name_H-M 'F -4 3 m'
_symmetry_Int_Tables_number 216
_symmetry_space_group_name_Hall 'F -4 2 3'
loop_
_atom_site_label
_atom_site_type_symbol
_atom_site_fract_x
_atom_site_fract_y
_atom_site_fract_z
Be1 Be 0.125 0.125 0.125
Si1 Si 0.250 0.250 0.750
Ru1 Ru 0.000 0.000 0.500
```

=====

Entry 7:
This record from Alexandria describes BaCaTc2 at its PBEsol-relaxed geometry. The functional is SCAN.

- E above lowest polymorph (meV/atom) = 169.6
- Fermi-level density of states (states/eV/cell) = 7.8
- total energy (eV for the cell shown) = -234.18
- energy of formation (meV/atom) = 561

```
data_BaCaTc2
_cell_length_a 10.777
_cell_length_b 3.815
_cell_length_c 6.952
_cell_angle_alpha 90.00
_cell_angle_beta 121.22
_cell_angle_gamma 90.00
_symmetry_space_group_name_H-M 'C 1 2/m 1'
_symmetry_Int_Tables_number 12
_symmetry_space_group_name_Hall '-C 2y'
loop_
_atom_site_label
_atom_site_type_symbol
_atom_site_fract_x
_atom_site_fract_y
_atom_site_fract_z
Ba1 Ba 0.000 0.000 0.000
Ca1 Ca 0.000 0.500 0.500
Tc1 Tc 0.241 0.500 0.401
```

=====

Entry 8:
This record from Alexandria describes Mg14MnZnO16 at its PBEsol-relaxed geometry. The functional is SCAN.

- Fermi-level density of states (states/eV/cell) = 0.0
- total energy (eV for the cell shown) = -292.20
- formation energy without anion corrections (eV per atom) = -2.85

```
data_Mg14MnZnO16
_cell_length_a 4.236
_cell_length_b 8.468
_cell_length_c 8.480
_cell_angle_alpha 90.00
_cell_angle_beta 90.00
_cell_angle_gamma 90.00
_symmetry_space_group_name_H-M 'P m m m'
_symmetry_Int_Tables_number 47
_symmetry_space_group_name_Hall '-P 2 2'
loop_
_atom_site_label
_atom_site_type_symbol
_atom_site_fract_x
_atom_site_fract_y
_atom_site_fract_z
Mg1 Mg 0.000 0.000 0.000
Mg2 Mg 0.000 0.249 0.249
Mg3 Mg 0.000 0.500 0.000
Mg4 Mg 0.500 0.000 0.250
Mg5 Mg 0.500 0.248 0.500
Mg6 Mg 0.500 0.250 0.000
Mg7 Mg 0.500 0.500 0.249
Mn1 Mn 0.000 0.500 0.500
Zn1 Zn 0.000 0.000 0.500
O1 O 0.000 0.000 0.245
O2 O 0.000 0.246 0.500
O3 O 0.000 0.250 0.000
O4 O 0.000 0.500 0.244
O5 O 0.500 0.000 0.000
O6 O 0.500 0.000 0.500
O7 O 0.500 0.250 0.251
O8 O 0.500 0.500 0.000
O9 O 0.500 0.500 0.500
```

=====

Entry 9:
This record from Alexandria describes MgFeW2 at its PBEsol-relaxed geometry. The functional is SCAN.

- Fermi-level density of states (states/eV/cell) = 2.4
- total energy (eV for the cell shown) = -160.67
- energy of formation (meV/atom) = 453

```
data_MgFeW2
_cell_length_a 2.608
_cell_length_b 4.166
_cell_length_c 5.535
_cell_angle_alpha 90.00
_cell_angle_beta 90.00
_cell_angle_gamma 90.00
_symmetry_space_group_name_H-M 'P m m 2'
_symmetry_Int_Tables_number 25
_symmetry_space_group_name_Hall 'P 2 -2'
loop_
_atom_site_label
_atom_site_type_symbol
_atom_site_fract_x
_atom_site_fract_y
_atom_site_fract_z
Mg1 Mg 0.000 0.000 0.000
Fe1 Fe 0.500 0.500 0.771
W1 W 0.000 0.000 0.514
W2 W 0.500 0.500 0.269
```

=====

Entry 10:
This record from Alexandria describes ReGe2 at its PBEsol-relaxed geometry. The functional is SCAN.

- Fermi-level density of states (states/eV/cell) = 4.7
- total energy (eV for the cell shown) = -437.23
- energy of formation (meV/atom) = -12

```
data_ReGe2
_cell_length_a 9.066
_cell_length_b 3.168
_cell_length_c 7.493
_cell_angle_alpha 90.00
_cell_angle_beta 117.97
_cell_angle_gamma 90.00
_symmetry_space_group_name_H-M 'C 1 2/m 1'
_symmetry_Int_Tables_number 12
_symmetry_space_group_name_Hall '-C 2y'
loop_
_atom_site_label
_atom_site_type_symbol
_atom_site_fract_x
_atom_site_fract_y
_atom_site_fract_z
Re1 Re 0.150 0.000 0.190
Ge1 Ge 0.100 0.500 0.884
Ge2 Ge 0.148 0.000 0.539
```

=====

| no. | spin magnetization (μB/cell) |
| --- | --- |
| 1 | 0.00 |
| 2 | 0.00 |
| 3 | 0.00 |
| 4 | 1.93 |
| 5 | 0.36 |
| 6 | 0.00 |
| 7 | 0.00 |
| 8 | 5.00 |
| 9 | 2.40 |
| 10 | 0.00 |